Below is a geometry-optimized NiBr3O structure, with properties calculated at the PBE+U level.

DOS at the Fermi energy   11.34 states/eV/f.u.
Final energy   -7.763 eV/cell

Unit cell a=4.7363 b=4.7363 c=4.7363 alpha=90.00 beta=90.00 gamma=90.00
Closest atoms and distances in Å follow each position.
Space group Pm-3m (No. 221)
One atom of each set of equivalent atoms:
Ni1 0.0000 0.0000 0.0000  12 Br 3.35
Br1 0.0000 0.5000 0.5000  2 O 2.37
O1 0.5000 0.5000 0.5000  6 Br 2.37